{
  "formula": "Be2ZnPbF8",
  "functional": "PBE-GGA",
  "state": "relaxed",
  "cell": [[5.3229, 0.0000, 0.0000], [2.6615, 4.7227, 0.4135], [2.6615, 2.2008, 5.9819]],
  "species": ["F", "F", "F", "F", "F", "F", "F", "F", "Be", "Be", "Pb", "Zn"],
  "frac_coords": [[0.1322, 0.0292, 0.2370], [0.6611, 0.5710, 0.1068], [0.1168, 0.5131, 0.2532], [0.3984, 0.9708, 0.7630], [0.8678, 0.9708, 0.7630], [0.6016, 0.0292, 0.2370], [0.3389, 0.4290, 0.8932], [0.8832, 0.4869, 0.7468], [0.2922, 0.2610, 0.1547], [0.7078, 0.7390, 0.8453], [0.5000, 0.5000, 0.5000], [0.0000, 0.0000, 0.0000]],
  "vol_a3_per_atom": 12.13,
  "magnetic_moment_mub_per_atom": 0.00,
  "spacegroup": "C2/m",
  "raw_formation_energy_ev_per_fu": -33.06,
  "total_energy_ev_per_atom": -5.0392
}

{
  "formula": "InPtS",
  "functional": "PBE-GGA",
  "state": "relaxed",
  "cell": [[6.4006, 0.0000, 0.0000], [0.0000, 5.3368, 0.0000], [0.0000, 0.0000, 10.7970]],
  "species": ["Pt", "Pt", "Pt", "Pt", "Pt", "Pt", "S", "S", "S", "S", "S", "S", "In", "In", "In", "In", "In", "In"],
  "frac_coords": [[0.9812, 0.2231, 0.6665], [0.4812, 0.7769, 0.8335], [0.4812, 0.7769, 0.1665], [0.9812, 0.2231, 0.3335], [0.0370, 0.2682, 0.0000], [0.5370, 0.7318, 0.5000], [0.8799, 0.4969, 0.5000], [0.3799, 0.5031, 0.0000], [0.1205, 0.9706, 0.1745], [0.6205, 0.0294, 0.3255], [0.6205, 0.0294, 0.6745], [0.1205, 0.9706, 0.8255], [0.8676, 0.5876, 0.1597], [0.1445, 0.8882, 0.5000], [0.3676, 0.4124, 0.3403], [0.6445, 0.1118, 0.0000], [0.8676, 0.5876, 0.8403], [0.3676, 0.4124, 0.6597]],
  "vol_a3_per_atom": 20.49,
  "magnetic_moment_mub_per_atom": 0.00,
  "spacegroup": "Pmn2_1",
  "raw_formation_energy_ev_per_fu": -1.36,
  "total_energy_ev_per_atom": -4.7569
}

{
  "formula": "Sr2LiYPt",
  "functional": "PBE-GGA",
  "state": "relaxed",
  "cell": [[5.9935, 0.0000, 0.0000], [0.0000, 5.9935, 0.0000], [0.0000, 0.0000, 5.4373]],
  "species": ["Li", "Y", "Sr", "Sr", "Pt"],
  "frac_coords": [[0.5000, 0.5000, 0.5000], [0.0000, 0.0000, 0.5000], [0.0000, 0.5000, 0.0000], [0.5000, 0.0000, 0.0000], [0.0000, 0.0000, 0.0000]],
  "vol_a3_per_atom": 39.06,
  "magnetic_moment_mub_per_atom": 0.00,
  "e_form_ev_per_fu": -1.7,
  "spacegroup": "P4/mmm",
  "total_energy_ev_per_atom": -3.8876
}

{
  "formula": "YCrCl2",
  "functional": "PBE-GGA",
  "state": "relaxed",
  "cell": [[-1.2148, -4.2670, -1.1784], [3.2390, -1.6897, 2.7794], [-2.4460, -0.0778, 2.8032]],
  "species": ["Cl", "Cl", "Y", "Cr"],
  "frac_coords": [[0.0000, 0.0000, 0.0000], [0.5000, 0.5000, 0.0000], [0.0000, 0.5000, 0.5000], [0.5000, 0.0000, 0.5000]],
  "vol_a3_per_atom": 19.60,
  "magnetic_moment_mub_per_atom": 1.07,
  "spacegroup": "P4/mmm",
  "raw_formation_energy_ev_per_fu": -1.92,
  "e_above_lowest_polymorph_mev_per_atom": 338.2,
  "total_energy_ev_per_atom": -5.4256
}

{
  "formula": "EuPaRu4",
  "functional": "PBE-GGA",
  "state": "relaxed",
  "cell": [[5.3506, 0.0000, 0.0000], [2.6753, 4.6338, 0.0000], [2.6753, 1.5446, 4.3687]],
  "species": ["Ru", "Ru", "Ru", "Ru", "Eu", "Pa"],
  "frac_coords": [[0.6249, 0.6249, 0.6249], [0.1253, 0.6249, 0.6249], [0.6249, 0.1253, 0.6249], [0.6249, 0.6249, 0.1253], [0.0000, 0.0000, 0.0000], [0.2500, 0.2500, 0.2500]],
  "vol_a3_per_atom": 18.05,
  "magnetic_moment_mub_per_atom": 1.11,
  "e_form_ev_per_fu": -0.8,
  "spacegroup": "F-43m",
  "total_energy_ev_per_atom": -9.6055
}

{
  "formula": "Cs3NiBr7",
  "functional": "PBE-GGA",
  "state": "relaxed",
  "cell": [[-1.0169, 7.5009, -1.1323], [-10.1199, -1.6587, -1.8998], [-2.1072, 1.2448, 10.1382]],
  "species": ["Br", "Br", "Br", "Br", "Br", "Br", "Br", "Br", "Br", "Br", "Br", "Br", "Br", "Br", "Cs", "Cs", "Cs", "Cs", "Cs", "Cs", "Ni", "Ni"],
  "frac_coords": [[0.0000, 0.8347, 0.3347], [0.2234, 0.3848, 0.8848], [0.7766, 0.1152, 0.3848], [0.7766, 0.8848, 0.6152], [0.7766, 0.6152, 0.1152], [0.2234, 0.1152, 0.3848], [0.2234, 0.6152, 0.1152], [0.5000, 0.0000, 0.0000], [0.2234, 0.8848, 0.6152], [0.5000, 0.5000, 0.5000], [0.7766, 0.3848, 0.8848], [0.0000, 0.3347, 0.1653], [0.0000, 0.1653, 0.6653], [0.0000, 0.6653, 0.8347], [0.0000, 0.0000, 0.0000], [0.0000, 0.5000, 0.5000], [0.5000, 0.3228, 0.1772], [0.5000, 0.6772, 0.8228], [0.5000, 0.1772, 0.6772], [0.5000, 0.8228, 0.3228], [0.0000, 0.5000, 0.0000], [0.0000, 0.0000, 0.5000]],
  "vol_a3_per_atom": 37.84,
  "magnetic_moment_mub_per_atom": 0.00,
  "spacegroup": "P4/mbm",
  "raw_formation_energy_ev_per_fu": -11.81,
  "total_energy_ev_per_atom": -2.8964
}

{
  "formula": "LiNdBeIn",
  "functional": "PBE-GGA",
  "state": "relaxed",
  "cell": [[4.7722, 0.0000, 0.0000], [2.3861, 4.1329, 0.0000], [2.3861, 1.3776, 3.8965]],
  "species": ["Be", "Nd", "Li", "In"],
  "frac_coords": [[0.5000, 0.5000, 0.5000], [0.2500, 0.2500, 0.2500], [0.0000, 0.0000, 0.0000], [0.7500, 0.7500, 0.7500]],
  "vol_a3_per_atom": 19.21,
  "magnetic_moment_mub_per_atom": 0.00,
  "e_form_ev_per_fu": -0.6,
  "spacegroup": "F-43m",
  "total_energy_ev_per_atom": -3.4461
}

{
  "formula": "VTcP3",
  "functional": "PBE-GGA",
  "state": "relaxed",
  "cell": [[4.4839, 0.0000, 0.0000], [0.0000, 4.4839, 0.0000], [0.0000, 0.0000, 4.4839]],
  "species": ["P", "P", "P", "Tc", "V"],
  "frac_coords": [[0.0000, 0.0000, 0.5000], [0.5000, 0.0000, 0.0000], [0.0000, 0.5000, 0.0000], [0.5000, 0.5000, 0.5000], [0.0000, 0.0000, 0.0000]],
  "vol_a3_per_atom": 18.03,
  "magnetic_moment_mub_per_atom": 0.60,
  "e_form_ev_per_fu": 4.0,
  "spacegroup": "Pm-3m",
  "e_above_lowest_polymorph_mev_per_atom": 41.1,
  "total_energy_ev_per_atom": -6.3495
}

{
  "formula": "Pm4NdAl3",
  "functional": "PBE-GGA",
  "state": "relaxed",
  "cell": [[4.9148, 0.0000, 0.0000], [0.0000, 9.0622, 0.0000], [0.0000, 0.0000, 9.8274]],
  "species": ["Pm", "Pm", "Pm", "Pm", "Pm", "Pm", "Pm", "Pm", "Al", "Al", "Al", "Al", "Al", "Al", "Nd", "Nd"],
  "frac_coords": [[0.9996, 0.7750, 0.2500], [0.0004, 0.2250, 0.7500], [0.5000, 0.7750, 0.5000], [0.5000, 0.2250, 0.5000], [0.5000, 0.7750, 0.0000], [0.9996, 0.2250, 0.2500], [0.0004, 0.7750, 0.7500], [0.5000, 0.2250, 0.0000], [0.0000, 0.0000, 0.0000], [0.0000, 0.0000, 0.5000], [0.5000, 0.5000, 0.2500], [0.4993, 0.0000, 0.2500], [0.5007, 0.0000, 0.7500], [0.5000, 0.5000, 0.7500], [0.0000, 0.5000, 0.0000], [0.0000, 0.5000, 0.5000]],
  "vol_a3_per_atom": 27.36,
  "magnetic_moment_mub_per_atom": 0.00,
  "e_form_ev_per_fu": -2.0,
  "spacegroup": "P4/mmm",
  "total_energy_ev_per_atom": -4.6243
}

{
  "formula": "Ca3SmGa4",
  "functional": "PBE-GGA",
  "state": "relaxed",
  "cell": [[-2.9935, -1.8263, -0.9798], [0.8070, -2.6126, 2.4041], [-7.7877, 7.1779, 10.4143]],
  "species": ["Ga", "Ga", "Ga", "Ga", "Sm", "Ca", "Ca", "Ca"],
  "frac_coords": [[0.0000, 0.0000, 0.6259], [0.0000, 0.0000, 0.3741], [0.0000, 0.0000, 0.1248], [0.0000, 0.0000, 0.8752], [0.5000, 0.5000, 0.0000], [0.5000, 0.5000, 0.5000], [0.5000, 0.5000, 0.7490], [0.5000, 0.5000, 0.2510]],
  "vol_a3_per_atom": 24.61,
  "magnetic_moment_mub_per_atom": 0.00,
  "e_form_ev_per_fu": -3.8,
  "spacegroup": "P4/mmm",
  "total_energy_ev_per_atom": -3.3246
}